The following is a GGA-PBE calculation of a relaxed structure of Sm8Dy3Ho3, from the Alexandria database.

Cell: 9.701 9.701 9.701 Å, 146.14 112.02 78.15°
Element x y z (fractional)
Sm 0.058 0.396 0.662
Sm 0.065 0.223 0.842
Sm 0.265 0.604 0.662
Sm 0.382 0.223 0.158
Sm 0.618 0.777 0.842
Sm 0.735 0.396 0.338
Sm 0.935 0.777 0.158
Sm 0.942 0.604 0.338
Dy 0.320 0.820 0.500
Dy 0.500 0.500 0.000
Dy 0.680 0.180 0.500
Ho 0.000 0.000 0.000
Ho 0.301 0.000 0.301
Ho 0.699 0.000 0.699

Values from the calculation:
Calculated total energy   -4.55 eV/atom
Formation energy   110 meV/atom
Crystal system   orthorhombic
Space-group type   Immm (71)